(1)
The following is a GGA-PBE calculation of an optimized crystal structure of DyBiSb2, from Alexandria.

POSCAR file:
```
DyBiSb2
1.0
3.502 0.000 0.000
1.751 3.033 0.000
1.751 1.011 11.328
Sb Bi Dy
2 1 1
Direct
0.094 0.094 0.717 Sb
0.906 0.906 0.283 Sb
0.000 0.000 0.000 Bi
0.500 0.500 0.500 Dy
```

Output
Distance to the lowest polymorph of the same formula ... 180 meV per atom
Crystal system ... trigonal
E ... -17.58 eV per cell
E_form (uncorrected) ... -0.9 eV/f.u.
Magnetization ... 0.0 μB/cell
N(E_F) ... 3.45 states/eV/cell


(2)
The following is a GGA-PBE calculation of an optimized crystal structure of Dy5Bi4Sb, from Alexandria.

POSCAR file:
```
Dy5Bi4Sb
1.0
0.689 -2.527 -3.603
1.150 -4.964 3.701
-11.738 1.087 -0.253
Dy Bi Sb
5 4 1
Direct
0.597 0.097 0.195 Dy
0.799 0.299 0.599 Dy
0.201 0.701 0.401 Dy
0.000 0.500 0.000 Dy
0.403 0.903 0.805 Dy
0.400 0.400 0.800 Bi
0.801 0.801 0.602 Bi
0.199 0.199 0.398 Bi
0.600 0.600 0.200 Bi
0.000 0.000 0.000 Sb
```

Output
Crystal system ... orthorhombic
E ... -51.79 eV per cell
E_form (uncorrected) ... -9.1 eV/f.u.
Magnetization ... 0.0 μB/cell
N(E_F) ... 2.03 states/eV/cell


(3)
The following is a GGA-PBE calculation of an optimized crystal structure of DyScBiSb, from Alexandria.

POSCAR file:
```
DyScBiSb
1.0
-1.813 -0.545 -4.815
3.289 -0.522 -3.959
0.318 -11.584 -1.588
Dy Sc Bi Sb
2 2 2 2
Direct
0.616 0.616 0.153 Dy
0.384 0.384 0.847 Dy
0.791 0.791 0.626 Sc
0.209 0.209 0.374 Sc
0.119 0.119 0.642 Bi
0.881 0.881 0.358 Bi
0.706 0.706 0.883 Sb
0.294 0.294 0.117 Sb
```

Output
Crystal system ... trigonal
E ... -42.67 eV per cell
E_form (uncorrected) ... -2.4 eV/f.u.
Magnetization ... 0.0 μB/cell
N(E_F) ... 1.59 states/eV/cell


(4)
The following is a GGA-PBE calculation of an optimized crystal structure of Dy6BiSb2Se3, from Alexandria.

POSCAR file:
```
Dy6BiSb2Se3
1.0
-0.612 -1.531 3.921
4.066 -7.134 -2.152
7.103 6.201 1.222
Dy Bi Sb Se
6 1 2 3
Direct
0.328 0.922 0.656 Dy
0.664 0.589 0.329 Dy
0.672 0.078 0.344 Dy
0.997 0.264 0.995 Dy
0.003 0.736 0.005 Dy
0.336 0.411 0.671 Dy
0.500 0.000 0.000 Bi
0.833 0.668 0.667 Sb
0.167 0.332 0.333 Sb
0.500 0.500 0.000 Se
0.834 0.168 0.668 Se
0.166 0.832 0.332 Se
```

Output
Crystal system ... monoclinic
E ... -66.87 eV per cell
E_form (uncorrected) ... -16.7 eV/f.u.
Magnetization ... 0.0 μB/cell
N(E_F) ... 5.33 states/eV/cell


(5)
The following is a GGA-PBE calculation of an optimized crystal structure of Dy4BiSbSe2, from Alexandria.

POSCAR file:
```
Dy4BiSbSe2
1.0
-2.780 -3.096 -0.939
2.997 -0.662 -6.693
5.454 -4.962 0.210
Dy Bi Sb Se
4 1 1 2
Direct
0.000 0.769 0.739 Dy
0.000 0.231 0.261 Dy
0.500 0.765 0.249 Dy
0.500 0.235 0.751 Dy
0.500 0.500 0.000 Bi
0.000 0.500 0.500 Sb
0.000 0.000 0.000 Se
0.500 0.000 0.500 Se
```

Output
Crystal system ... monoclinic
E ... -44.28 eV per cell
E_form (uncorrected) ... -10.9 eV/f.u.
Magnetization ... 0.0 μB/cell
N(E_F) ... 3.42 states/eV/cell


(6)
The following is a GGA-PBE calculation of an optimized crystal structure of Dy4BiSb2Se, from Alexandria.

POSCAR file:
```
Dy4BiSb2Se
1.0
4.344 0.000 0.000
0.000 7.506 -0.149
0.000 2.640 7.038
Dy Bi Sb Se
4 1 2 1
Direct
0.000 0.752 0.743 Dy
0.000 0.248 0.257 Dy
0.500 0.748 0.256 Dy
0.500 0.252 0.744 Dy
0.500 0.500 0.000 Bi
0.000 0.000 0.000 Sb
0.500 0.000 0.500 Sb
0.000 0.500 0.500 Se
```

Output
Crystal system ... monoclinic
E ... -43.76 eV per cell
E_form (uncorrected) ... -9.7 eV/f.u.
Magnetization ... 0.0 μB/cell
N(E_F) ... 1.54 states/eV/cell